# 1
This record from Alexandria describes a geometry-optimized MgSi2SnO6 structure. The functional is PBE-GGA.

Its energy relative to the elements, uncorrected is -2.4293 eV/atom. The calculation puts the polymorph energy (0 for the lowest one) at 15.1 meV per atom. Its magnetic moment is 0.00 μB per formula unit. The density of states at the Fermi level is 0.00 states/eV/cell. For the final energy, the calculation gives -7.0486 eV per atom.

The space group is C2/c (No. 15) and the conventional cell measures 10.790, 9.876 and 5.516 Å, with angles of 90.00, 109.64 and 90.00 degrees. The asymmetric unit holds Mg at (0.000, 0.213, 0.250), Si at (0.228, 0.093, 0.716), Sn at (0.000, 0.351, 0.750), O at (0.092, 0.183, 0.618), O at (0.140, 0.317, 0.175) and O at (0.221, 0.009, 0.451).

=====

# 2
This record from Alexandria describes a geometry-optimized Rb2PI6 structure. The functional is PBE-GGA.

Its energy relative to the elements, uncorrected is -0.5323 eV/atom. Its magnetic moment is 0.91 μB per formula unit. The density of states at the Fermi level is 36.15 states/eV/cell. For the final energy, the calculation gives -2.3818 eV per atom.

The space group is P4_2/mnm (No. 136) and the conventional cell measures 7.903, 7.903 and 15.395 Å, with angles of 90.00, 90.00 and 90.00 degrees. The asymmetric unit holds Rb at (0.000, 0.000, 0.168), P at (0.000, 0.000, 0.500), I at (0.175, 0.175, 0.371) and I at (0.248, 0.752, 0.500).

=====

# 3
This record from Alexandria describes a geometry-optimized Ti4C3O structure. The functional is PBE-GGA.

Its energy relative to the elements, uncorrected is -1.3047 eV/atom. Its magnetic moment is 0.00 μB per formula unit. The density of states at the Fermi level is 5.79 states/eV/cell. For the final energy, the calculation gives -9.3309 eV per atom.

The space group is Cmmm (No. 65) and the conventional cell measures 6.143, 8.647 and 3.050 Å, with angles of 90.00, 90.00 and 90.00 degrees. The asymmetric unit holds Ti at (0.000, 0.247, 0.000), Ti at (0.238, 0.000, 0.500), C at (0.000, 0.000, 0.000), C at (0.250, 0.250, 0.500) and O at (0.000, 0.500, 0.000).